1.
A plane-wave DFT calculation with PBE was carried out for Li2Ti3NbN6 after structural relaxation.

Cell lengths 5.212, 9.012, 5.246 Å; angles 90.00, 109.21, 90.00 degrees
Space group C2/m (No. 12)
One atom of each set of equivalent atoms:
Li: 0.000 0.165 0.000 [4 per cell]
Ti: 0.000 0.000 0.500 [2 per cell]
Ti: 0.000 0.329 0.500 [4 per cell]
Nb: 0.000 0.500 0.000 [2 per cell]
N: 0.234 0.500 0.736 [4 per cell]
N: 0.250 0.162 0.734 [8 per cell]

N(E_F) = 0.19 states/eV/atom
Size of the total moment = 0.00 μB per formula unit

---

2.
A plane-wave DFT calculation with PBE was carried out for Li3TiNb2N6 after structural relaxation.

Cell lengths 5.343, 9.253, 5.329 Å; angles 90.00, 109.41, 90.00 degrees
Space group C2/m (No. 12)
One atom of each set of equivalent atoms:
Li: 0.000 0.000 0.000 [2 per cell]
Li: 0.000 0.337 0.000 [4 per cell]
Ti: 0.000 0.500 0.500 [2 per cell]
Nb: 0.000 0.167 0.500 [4 per cell]
N: 0.238 0.335 0.722 [8 per cell]
N: 0.244 0.000 0.722 [4 per cell]

N(E_F) = 0.38 states/eV/atom
Size of the total moment = 0.00 μB per formula unit

---

3.
A plane-wave DFT calculation with PBE was carried out for LiNb2TlN after structural relaxation.

Cell lengths 4.839, 4.839, 3.317 Å; angles 90.00, 90.00, 90.00 degrees
Space group P4/mmm (No. 123)
One atom of each set of equivalent atoms:
Li: 0.000 0.000 0.000 [1 per cell]
Nb: 0.000 0.500 0.000 [2 per cell]
Tl: 0.500 0.500 0.500 [1 per cell]
N: 0.000 0.000 0.500 [1 per cell]

N(E_F) = 0.63 states/eV/atom
Size of the total moment = 0.00 μB per formula unit

---

4.
A plane-wave DFT calculation with PBE was carried out for LiTmNb2N4 after structural relaxation.

Cell lengths 4.493, 4.493, 8.762 Å; angles 90.00, 90.00, 90.00 degrees
Space group I4/mmm (No. 139)
One atom of each set of equivalent atoms:
Li: 0.000 0.000 0.000 [2 per cell]
Tm: 0.000 0.000 0.500 [2 per cell]
Nb: 0.000 0.500 0.250 [4 per cell]
N: 0.000 0.000 0.243 [4 per cell]
N: 0.000 0.500 0.000 [4 per cell]

N(E_F) = 0.36 states/eV/atom
Size of the total moment = 0.00 μB per formula unit

---

5.
A plane-wave DFT calculation with PBE was carried out for Li2TmNb3N6 after structural relaxation.

Cell lengths 13.853, 3.138, 6.436 Å; angles 90.00, 105.67, 90.00 degrees
Space group C2/m (No. 12)
One atom of each set of equivalent atoms:
Li: 0.173 0.000 0.351 [4 per cell]
Tm: 0.000 0.500 0.000 [2 per cell]
Nb: 0.000 0.500 0.500 [2 per cell]
Nb: 0.174 0.000 0.822 [4 per cell]
N: 0.004 0.000 0.740 [4 per cell]
N: 0.162 0.500 0.597 [4 per cell]
N: 0.172 0.500 0.067 [4 per cell]

N(E_F) = 0.34 states/eV/atom
Size of the total moment = 0.00 μB per formula unit

---

6.
A plane-wave DFT calculation with PBE was carried out for Li3U2NbN6 after structural relaxation.

Cell lengths 13.643, 3.298, 5.934 Å; angles 90.00, 92.34, 90.00 degrees
Space group C2/m (No. 12)
One atom of each set of equivalent atoms:
Li: 0.000 0.000 0.000 [2 per cell]
Li: 0.123 0.500 0.237 [4 per cell]
U: 0.187 0.500 0.759 [4 per cell]
Nb: 0.000 0.000 0.500 [2 per cell]
N: 0.022 0.500 0.734 [4 per cell]
N: 0.158 0.000 0.495 [4 per cell]
N: 0.171 0.000 0.005 [4 per cell]

N(E_F) = 0.62 states/eV/atom
Size of the total moment = 1.72 μB per formula unit

---

7.
A plane-wave DFT calculation with PBE was carried out for Li3U3NbN8 after structural relaxation.

Cell lengths 6.7673, 6.7673, 15.1425 Å; angles 90.00, 90.00, 120.00 degrees
Space group R-3m (No. 166, hexagonal axes)
One atom of each set of equivalent atoms:
Li: 0.0000 0.5000 0.0000 [9 per cell]
U: 0.0000 0.5000 0.5000 [9 per cell]
Nb: 0.0000 0.0000 0.5000 [3 per cell]
N: 0.0000 0.0000 0.2386 [6 per cell]
N: 0.0097 0.5048 0.2337 [18 per cell]

N(E_F) = 0.45 states/eV/atom
Size of the total moment = 2.11 μB per formula unit

---

8.
A plane-wave DFT calculation with PBE was carried out for LiUNb4N8 after structural relaxation.

Cell lengths 6.4012, 6.4012, 14.8924 Å; angles 90.00, 90.00, 120.00 degrees
Space group R3m (No. 160, hexagonal axes)
One atom of each set of equivalent atoms:
Li: 0.0000 0.0000 0.0000 [3 per cell]
U: 0.0000 0.0000 0.5896 [3 per cell]
Nb: 0.0000 0.0000 0.3734 [3 per cell]
Nb: 0.0103 0.5052 0.4978 [9 per cell]
N: 0.0000 0.0000 0.2420 [3 per cell]
N: 0.0000 0.0000 0.7492 [3 per cell]
N: 0.1741 0.3483 0.0993 [9 per cell]
N: 0.1865 0.3729 0.5795 [9 per cell]

N(E_F) = 0.54 states/eV/atom
Size of the total moment = 0.00 μB per formula unit

---

9.
A plane-wave DFT calculation with PBE was carried out for Li3UNb2N6 after structural relaxation.

Cell lengths 13.820, 3.211, 6.320 Å; angles 90.00, 101.64, 90.00 degrees
Space group C2/m (No. 12)
One atom of each set of equivalent atoms:
Li: 0.000 0.000 0.000 [2 per cell]
Li: 0.179 0.500 0.340 [4 per cell]
U: 0.000 0.000 0.500 [2 per cell]
Nb: 0.168 0.500 0.851 [4 per cell]
N: 0.013 0.500 0.747 [4 per cell]
N: 0.160 0.000 0.611 [4 per cell]
N: 0.175 0.000 0.076 [4 per cell]

N(E_F) = 0.37 states/eV/atom
Size of the total moment = 0.66 μB per formula unit

---

10.
A plane-wave DFT calculation with PBE was carried out for Li4U3NbN8 after structural relaxation.

Cell lengths 6.7471, 6.7471, 15.2921 Å; angles 90.00, 90.00, 120.00 degrees
Space group R-3m (No. 166, hexagonal axes)
One atom of each set of equivalent atoms:
Li: 0.0000 0.0000 0.0000 [3 per cell]
Li: 0.0000 0.5000 0.0000 [9 per cell]
U: 0.0000 0.5000 0.5000 [9 per cell]
Nb: 0.0000 0.0000 0.5000 [3 per cell]
N: 0.0000 0.0000 0.2380 [6 per cell]
N: 0.0057 0.5029 0.2370 [18 per cell]

N(E_F) = 0.46 states/eV/atom
Size of the total moment = 2.94 μB per formula unit

---

11.
A plane-wave DFT calculation with PBE was carried out for Li2UNb3N6 after structural relaxation.

Cell lengths 5.362, 9.337, 5.563 Å; angles 90.00, 107.61, 90.00 degrees
Space group C2/m (No. 12)
One atom of each set of equivalent atoms:
Li: 0.000 0.166 0.000 [4 per cell]
U: 0.000 0.500 0.000 [2 per cell]
Nb: 0.000 0.000 0.500 [2 per cell]
Nb: 0.000 0.317 0.500 [4 per cell]
N: 0.234 0.500 0.732 [4 per cell]
N: 0.249 0.165 0.746 [8 per cell]

N(E_F) = 0.25 states/eV/atom
Size of the total moment = 0.00 μB per formula unit

---

12.
A plane-wave DFT calculation with PBE was carried out for LiU2NbN5 after structural relaxation.

Cell lengths 3.227, 12.861, 10.001 Å; angles 90.00, 90.00, 90.00 degrees
Space group Cmc2_1 (No. 36)
One atom of each set of equivalent atoms:
Li: 0.000 0.019 0.000 [4 per cell]
U: 0.000 0.364 0.835 [4 per cell]
U: 0.000 0.392 0.209 [4 per cell]
Nb: 0.000 0.307 0.537 [4 per cell]
N: 0.000 0.010 0.306 [4 per cell]
N: 0.000 0.141 0.538 [4 per cell]
N: 0.000 0.190 0.892 [4 per cell]
N: 0.000 0.213 0.192 [4 per cell]
N: 0.000 0.453 0.601 [4 per cell]

N(E_F) = 0.69 states/eV/atom
Size of the total moment = 2.25 μB per formula unit

---

13.
A plane-wave DFT calculation with PBE was carried out for Li2UNbN4 after structural relaxation.

Cell lengths 3.354, 12.341, 9.176 Å; angles 90.00, 90.00, 90.00 degrees
Space group Cmcm (No. 63)
One atom of each set of equivalent atoms:
Li: 0.000 0.085 0.041 [8 per cell]
U: 0.000 0.441 0.250 [4 per cell]
Nb: 0.000 0.289 0.750 [4 per cell]
N: 0.000 0.108 0.250 [4 per cell]
N: 0.000 0.171 0.618 [8 per cell]
N: 0.000 0.500 0.000 [4 per cell]

N(E_F) = 0.22 states/eV/atom
Size of the total moment = 1.10 μB per formula unit

---

14.
A plane-wave DFT calculation with PBE was carried out for LiUNbN4 after structural relaxation.

Cell lengths 6.224, 6.909, 9.121 Å; angles 90.00, 90.00, 90.00 degrees
Space group Imma (No. 74)
One atom of each set of equivalent atoms:
Li: 0.000 0.250 0.125 [4 per cell]
U: 0.000 0.000 0.500 [4 per cell]
Nb: 0.250 0.250 0.750 [4 per cell]
N: 0.000 0.041 0.733 [8 per cell]
N: 0.217 0.250 0.518 [8 per cell]

Size of the total moment = 0.00 μB per formula unit

---

15.
A plane-wave DFT calculation with PBE was carried out for LiU2NbN4 after structural relaxation.

Cell lengths 5.410, 3.375, 5.911 Å; angles 90.00, 111.53, 90.00 degrees
Space group P2/m (No. 10)
One atom of each set of equivalent atoms:
Li: 0.000 0.000 0.000 [1 per cell]
U: 0.500 0.000 0.500 [1 per cell]
U: 0.500 0.500 0.000 [1 per cell]
Nb: 0.000 0.500 0.500 [1 per cell]
N: 0.246 0.000 0.752 [2 per cell]
N: 0.265 0.500 0.264 [2 per cell]

N(E_F) = 0.88 states/eV/atom
Size of the total moment = 0.91 μB per formula unit

---

16.
A plane-wave DFT calculation with PBE was carried out for Li2Nb2WN6 after structural relaxation.

Cell lengths 5.347, 9.218, 5.452 Å; angles 90.00, 108.70, 90.00 degrees
Space group C2/m (No. 12)
One atom of each set of equivalent atoms:
Li: 0.000 0.167 0.000 [4 per cell]
Nb: 0.000 0.333 0.500 [4 per cell]
W: 0.000 0.000 0.500 [2 per cell]
N: 0.229 0.166 0.714 [8 per cell]
N: 0.248 0.000 0.289 [4 per cell]

Size of the total moment = 0.00 μB per formula unit

---

17.
A plane-wave DFT calculation with PBE was carried out for Li4Nb3WN8 after structural relaxation.

Cell lengths 6.1434, 6.1434, 15.3618 Å; angles 90.00, 90.00, 120.00 degrees
Space group R-3m (No. 166, hexagonal axes)
One atom of each set of equivalent atoms:
Li: 0.0000 0.0000 0.0000 [3 per cell]
Li: 0.0000 0.5000 0.0000 [9 per cell]
Nb: 0.0000 0.5000 0.5000 [9 per cell]
W: 0.0000 0.0000 0.5000 [3 per cell]
N: 0.0000 0.0000 0.2415 [6 per cell]
N: 0.0084 0.5042 0.2416 [18 per cell]

N(E_F) = 0.22 states/eV/atom
Size of the total moment = 0.00 μB per formula unit

---

18.
A plane-wave DFT calculation with PBE was carried out for Li3Nb3WN8 after structural relaxation.

Cell lengths 6.1773, 6.1773, 15.4167 Å; angles 90.00, 90.00, 120.00 degrees
Space group R-3m (No. 166, hexagonal axes)
One atom of each set of equivalent atoms:
Li: 0.0000 0.5000 0.0000 [9 per cell]
Nb: 0.0000 0.5000 0.5000 [9 per cell]
W: 0.0000 0.0000 0.5000 [3 per cell]
N: 0.0000 0.0000 0.2401 [6 per cell]
N: 0.0111 0.5055 0.2379 [18 per cell]

Size of the total moment = 0.00 μB per formula unit

---

19.
A plane-wave DFT calculation with PBE was carried out for LiY2NbN after structural relaxation.

Cell lengths 4.955, 4.955, 4.169 Å; angles 90.00, 90.00, 90.00 degrees
Space group P4/mmm (No. 123)
One atom of each set of equivalent atoms:
Li: 0.000 0.000 0.000 [1 per cell]
Y: 0.000 0.500 0.500 [2 per cell]
Nb: 0.500 0.500 0.000 [1 per cell]
N: 0.500 0.500 0.500 [1 per cell]

N(E_F) = 0.94 states/eV/atom
Size of the total moment = 1.19 μB per formula unit

---

20.
A plane-wave DFT calculation with PBE was carried out for LiYNb4N8 after structural relaxation.

Cell lengths 6.3615, 6.3615, 15.6421 Å; angles 90.00, 90.00, 120.00 degrees
Space group R3m (No. 160, hexagonal axes)
One atom of each set of equivalent atoms:
Li: 0.0000 0.0000 0.0000 [3 per cell]
Y: 0.0000 0.0000 0.3811 [3 per cell]
Nb: 0.0000 0.0000 0.6242 [3 per cell]
Nb: 0.1724 0.3448 0.8307 [9 per cell]
N: 0.0000 0.0000 0.2390 [3 per cell]
N: 0.0000 0.0000 0.7606 [3 per cell]
N: 0.0046 0.5023 0.2439 [9 per cell]
N: 0.0416 0.5208 0.7641 [9 per cell]

Size of the total moment = 0.00 μB per formula unit

---

Let's list uncorrected formation energy in order: -15.66; -10.37; 5.30; -8.73; -13.05; -12.41; -15.13; -11.29; -11.30; -16.56; -13.73; -9.32; -4.40; -6.60; -8.95; -6.56; -12.35; -10.05; -2.25; -11.51 eV per formula unit.
Let's list final energy in order: -8.60; -7.84; -5.49; -8.57; -8.46; -8.40; -8.76; -9.38; -8.20; -8.42; -9.08; -9.50; -7.86; -9.03; -9.60; -8.49; -8.11; -8.37; -7.10; -9.06 eV per atom.